# 1
Compound: Pr4Ni2Au5
Source: the Alexandria database
Functional: PBE
Structure: optimized geometry

total DFT energy (no corrections)	-4.91	eV per atom
density	10.776	g/cm3

Lattice parameters (Å, degrees): 7.382 3.999 8.702 90.00 92.13 90.00
Space group P2/m (No. 10)
One atom of each set of equivalent atoms:
Pr 0.206 0.000 0.357 x2
Pr 0.243 0.000 0.902 x2
Ni 0.064 0.500 0.126 x2
Au 0.141 0.500 0.633 x2
Au 0.427 0.500 0.156 x2
Au 0.500 0.500 0.500 x1

***

# 2
Compound: Pr6NiAu2
Source: the Alexandria database
Functional: PBE
Structure: optimized geometry

total DFT energy (no corrections)	-4.93	eV per atom
density	7.805	g/cm3

Lattice parameters (Å, degrees): 6.972 7.470 12.340 90.00 120.75 90.00
Space group P2_1/c (No. 14)
One atom of each set of equivalent atoms:
Pr 0.118 0.024 0.256 x4
Pr 0.241 0.681 0.064 x4
Pr 0.380 0.191 0.061 x4
Ni 0.000 0.000 0.000 x2
Au 0.320 0.107 0.765 x4

***

# 3
Compound: Pr4Ni2Au
Source: the Alexandria database
Functional: PBE
Structure: optimized geometry

total DFT energy (no corrections)	-5.12	eV per atom
density	7.762	g/cm3

Lattice parameters (Å, degrees): 4.7129 4.7129 29.2955 90.00 90.00 120.00
Space group R-3m (No. 166, hexagonal axes)
One atom of each set of equivalent atoms:
Pr 0.0000 0.0000 0.1161 x6
Pr 0.0000 0.0000 0.2982 x6
Ni 0.0000 0.0000 0.4043 x6
Au 0.0000 0.0000 0.5000 x3

***

# 4
Compound: PrNi4Au
Source: the Alexandria database
Functional: PBE
Structure: optimized geometry

total DFT energy (no corrections)	-5.47	eV per atom
density	10.550	g/cm3

Lattice parameters (Å, degrees): 7.117 7.117 7.117 90.00 90.00 90.00
Space group F-43m (No. 216)
One atom of each set of equivalent atoms:
Pr 0.000 0.000 0.000 x4
Ni 0.124 0.124 0.376 x16
Au 0.250 0.250 0.750 x4

***

# 5
Compound: Pr3NiAu
Source: the Alexandria database
Functional: PBE
Structure: optimized geometry

ΔE to the lowest computed polymorph	4	meV/atom
total DFT energy (no corrections)	-5.09	eV per atom
density	8.226	g/cm3

Lattice parameters (Å, degrees): 16.287 4.004 8.416 90.00 93.60 90.00
Space group Cm (No. 8)
One atom of each set of equivalent atoms:
Pr 0.000 0.000 0.000 x2
Pr 0.018 0.500 0.606 x2
Pr 0.156 0.000 0.354 x2
Pr 0.206 0.500 0.000 x2
Pr 0.312 0.500 0.606 x2
Pr 0.362 0.000 0.252 x2
Ni 0.043 0.500 0.242 x2
Ni 0.475 0.500 0.365 x2
Au 0.163 0.000 0.731 x2
Au 0.355 0.000 0.876 x2

***

# 6
Compound: Pr2NiAu3
Source: the Alexandria database
Functional: PBE
Structure: optimized geometry

total DFT energy (no corrections)	-4.82	eV per atom
density	11.087	g/cm3

Lattice parameters (Å, degrees): 3.799 4.333 8.475 90.00 90.00 90.00
Space group Pmm2 (No. 25)
One atom of each set of equivalent atoms:
Pr 0.000 0.000 0.000 x1
Pr 0.000 0.500 0.467 x1
Ni 0.500 0.000 0.325 x1
Au 0.500 0.000 0.627 x1
Au 0.500 0.500 0.162 x1
Au 0.500 0.500 0.831 x1

***

# 7
Compound: Pr5Ni2Au
Source: the Alexandria database
Functional: PBE
Structure: optimized geometry

total DFT energy (no corrections)	-5.17	eV per atom
density	7.978	g/cm3

Lattice parameters (Å, degrees): 7.988 7.988 13.295 90.00 90.00 90.00
Space group I4/mcm (No. 140)
One atom of each set of equivalent atoms:
Pr 0.000 0.000 0.000 x4
Pr 0.163 0.337 0.139 x16
Ni 0.119 0.381 0.500 x8
Au 0.000 0.000 0.250 x4

***

# 8
Compound: Pr2Ni9Au
Source: the Alexandria database
Functional: PBE
Structure: optimized geometry

total DFT energy (no corrections)	-5.52	eV per atom
density	9.523	g/cm3

Lattice parameters (Å, degrees): 4.9820 4.9820 24.5080 90.00 90.00 120.00
Space group R-3m (No. 166, hexagonal axes)
One atom of each set of equivalent atoms:
Pr 0.0000 0.0000 0.1332 x6
Ni 0.0000 0.0000 0.3326 x6
Ni 0.0000 0.0000 0.5000 x3
Ni 0.0008 0.5004 0.0795 x18
Au 0.0000 0.0000 0.0000 x3

***

# 9
Compound: Pr8NiAu2
Source: the Alexandria database
Functional: PBE
Structure: optimized geometry

ΔE to the lowest computed polymorph	0	meV/atom
total DFT energy (no corrections)	-4.90	eV per atom
density	7.958	g/cm3

Lattice parameters (Å, degrees): 18.187 5.190 7.103 90.00 100.46 90.00
Space group C2/m (No. 12)
One atom of each set of equivalent atoms:
Pr 0.025 0.000 0.280 x4
Pr 0.088 0.500 0.947 x4
Pr 0.158 0.500 0.473 x4
Pr 0.203 0.000 0.828 x4
Ni 0.000 0.500 0.500 x2
Au 0.191 0.000 0.244 x4

***

# 10
Compound: PrNiAu
Source: the Alexandria database
Functional: PBE
Structure: optimized geometry

total DFT energy (no corrections)	-5.10	eV per atom
density	9.848	g/cm3

Lattice parameters (Å, degrees): 7.669 4.416 8.292 90.00 107.72 90.00
Space group C2/m (No. 12)
One atom of each set of equivalent atoms:
Pr 0.242 0.000 0.224 x4
Ni 0.145 0.500 0.434 x4
Au 0.000 0.000 0.500 x2
Au 0.000 0.500 0.000 x2

***

# 11
Compound: Pr12NiAu6
Source: the Alexandria database
Functional: PBE
Structure: optimized geometry

total DFT energy (no corrections)	-4.75	eV per atom
density	7.807	g/cm3

Lattice parameters (Å, degrees): 13.1253 13.1253 12.5378 90.00 90.00 120.00
Space group R-3 (No. 148, hexagonal axes)
One atom of each set of equivalent atoms:
Pr 0.0301 0.2121 0.3957 x18
Pr 0.0503 0.2004 0.8851 x18
Ni 0.0000 0.0000 0.0000 x3
Au 0.0494 0.2729 0.6456 x18

***

# 12
Compound: PrNiAu
Source: the Alexandria database
Functional: PBE
Structure: optimized geometry

total DFT energy (no corrections)	-5.01	eV per atom
density	9.661	g/cm3

Lattice parameters (Å, degrees): 6.484 6.484 6.484 90.00 90.00 90.00
Space group F-43m (No. 216)
One atom of each set of equivalent atoms:
Pr 0.000 0.000 0.000 x4
Ni 0.250 0.250 0.750 x4
Au 0.000 0.000 0.500 x4

***

DOS(E_F)? In order: 0.718, 1.045, 1.025, 1.164, 1.074, 0.803, 1.144, 0.869, 0.966, 0.663, 1.291, 0.561 states/eV/atom.